Entry 1:
# PBE-GGA Cs3BeS3, optimized geometry
data_Cs3BeS3
_chemical_formula_sum 'Cs12 Be4 S12'
_cell_length_a 7.887
_cell_length_b 13.319
_cell_length_c 11.164
_cell_angle_alpha 90.00
_cell_angle_beta 124.81
_cell_angle_gamma 90.00
_symmetry_space_group_name_H-M 'P 1 21/c 1'
_symmetry_Int_Tables_number 14
loop_
_symmetry_equiv_pos_as_xyz
'x,y,z'
'-x,-y,-z'
'-x,y+1/2,-z+1/2'
'x,-y+1/2,z+1/2'
loop_
_atom_site_label
_atom_site_fract_x
_atom_site_fract_y
_atom_site_fract_z
Cs1 0.142 0.058 0.380
Cs2 0.144 0.129 0.980
Cs3 0.347 0.709 0.109
Be1 0.451 0.042 0.870
S1 0.217 0.143 0.702
S2 0.354 0.595 0.410
S3 0.427 0.546 0.757
# Magnetization   3.9 μB/cell
# VASP energy   -101.392 eV for the cell shown

Entry 2:
# PBE-GGA Cs3BeS3, optimized geometry
data_Cs3BeS3
_chemical_formula_sum 'Cs12 Be4 S12'
_cell_length_a 9.928
_cell_length_b 17.152
_cell_length_c 6.973
_cell_angle_alpha 90.00
_cell_angle_beta 90.00
_cell_angle_gamma 90.00
_symmetry_space_group_name_H-M 'C m c m'
_symmetry_Int_Tables_number 63
_symmetry_space_group_name_Hall '-C 2c 2'
loop_
_atom_site_label
_atom_site_fract_x
_atom_site_fract_y
_atom_site_fract_z
Cs1 0.000 0.185 0.250
Cs2 0.221 0.407 0.250
Be1 0.000 0.333 0.750
S1 0.000 0.216 0.750
S2 0.175 0.392 0.750
# Magnetization   4.3 μB/cell
# VASP energy   -99.572 eV for the cell shown

Entry 3:
# PBE-GGA Cs2BeSbS4, optimized geometry
data_Cs2BeSbS4
_chemical_formula_sum 'Cs16 Be8 Sb8 S32'
_cell_length_a 6.066
_cell_length_b 14.557
_cell_length_c 24.746
_cell_angle_alpha 90.00
_cell_angle_beta 90.00
_cell_angle_gamma 90.00
_symmetry_space_group_name_H-M 'F d d d'
_symmetry_Int_Tables_number 70
loop_
_symmetry_equiv_pos_as_xyz
'x,y,z'
'-x,-y,-z'
'-x+1/4,-y+1/4,z'
'x+1/4,y+1/4,-z'
'x,-y+1/4,-z+1/4'
'-x,y+1/4,z+1/4'
'-x+1/4,y,-z+1/4'
'x+1/4,-y,z+1/4'
'x,y+1/2,z+1/2'
'-x,-y+1/2,-z+1/2'
'-x+1/4,-y+3/4,z+1/2'
'x+1/4,y+3/4,-z+1/2'
'x,-y+3/4,-z+3/4'
'-x,y+3/4,z+3/4'
'-x+1/4,y+1/2,-z+3/4'
'x+1/4,-y+1/2,z+3/4'
'x+1/2,y,z+1/2'
'-x+1/2,-y,-z+1/2'
'-x+3/4,-y+1/4,z+1/2'
'x+3/4,y+1/4,-z+1/2'
'x+1/2,-y+1/4,-z+3/4'
'-x+1/2,y+1/4,z+3/4'
'-x+3/4,y,-z+3/4'
'x+3/4,-y,z+3/4'
'x+1/2,y+1/2,z'
'-x+1/2,-y+1/2,-z'
'-x+3/4,-y+3/4,z'
'x+3/4,y+3/4,-z'
'x+1/2,-y+3/4,-z+1/4'
'-x+1/2,y+3/4,z+1/4'
'-x+3/4,y+1/2,-z+1/4'
'x+3/4,-y+1/2,z+1/4'
loop_
_atom_site_label
_atom_site_fract_x
_atom_site_fract_y
_atom_site_fract_z
Cs1 0.125 0.125 0.302
Be1 0.125 0.125 0.125
Sb1 0.125 0.125 0.625
S1 0.083 0.287 0.423
# Magnetization   7.2 μB/cell
# VASP energy   -259.279 eV for the cell shown